6
Lattice="1.1823 -2.8723 3.8711 0.4098 1.9859 4.5300 -3.4013 -1.0115 3.4700" Properties=species:S:1:pos:R:3 comment="KTcNi4, relaxed, DFT PBE" dos_at_fermi_per_ev_cell=4.022 vol_a3_per_cell=86.45 formation_energy_ev_per_fu=4.2 pbc="T T T"
Ni -0.6805 -0.7139 4.4652
Ni -0.0948 -2.1369 6.3831
Ni -2.3657 -1.2150 6.1843
Ni -0.4775 0.2700 6.7095
Tc -1.3570 -1.4234 8.9033
K 0.0000 0.0000 0.0000